1.
## YBe2Cr2 (PBE)

Data for a relaxed structure of YBe2Cr2.

Cell and atoms, written as CIF:
```
data_YBe2Cr2
_cell_length_a 6.649
_cell_length_b 6.649
_cell_length_c 3.025
_cell_angle_alpha 90.00
_cell_angle_beta 90.00
_cell_angle_gamma 90.00
_symmetry_space_group_name_H-M 'P 1'
_symmetry_Int_Tables_number 1
_symmetry_space_group_name_Hall 'P 1'
loop_
_atom_site_label
_atom_site_fract_x
_atom_site_fract_y
_atom_site_fract_z
Y1 0.000 0.000 0.000
Y2 0.500 0.500 0.000
Be1 0.111 0.389 0.000
Be2 0.389 0.889 0.000
Be3 0.611 0.111 0.000
Be4 0.889 0.611 0.000
Cr1 0.167 0.667 0.500
Cr2 0.333 0.167 0.500
Cr3 0.667 0.833 0.500
Cr4 0.833 0.333 0.500
```

Summary:
The calculation puts the formation energy at 0.464 eV per atom. The final energy is -6.168 eV/atom. The value obtained for the theoretical density is 5.24 g/cm3. The value obtained for the polymorph energy (0 for the lowest one) is 97 meV per atom. The total magnetic moment comes out at 0.001 Bohr magnetons per cell. The space group is P4/mbm.

2.
## Y2TlCd (PBE)

Data for a relaxed structure of Y2TlCd.

Cell and atoms, written as CIF:
```
data_Y2TlCd
_cell_length_a 5.338
_cell_length_b 5.338
_cell_length_c 5.338
_cell_angle_alpha 120.11
_cell_angle_beta 120.11
_cell_angle_gamma 89.82
_symmetry_space_group_name_H-M 'P 1'
_symmetry_Int_Tables_number 1
_symmetry_space_group_name_Hall 'P 1'
loop_
_atom_site_label
_atom_site_fract_x
_atom_site_fract_y
_atom_site_fract_z
Y1 0.250 0.750 0.500
Y2 0.750 0.250 0.500
Tl1 0.000 0.000 0.000
Cd1 0.500 0.500 0.000
```

Summary:
The calculation puts the formation energy at -0.377 eV per atom. The final energy is -4.430 eV/atom. The value obtained for the theoretical density is 7.65 g/cm3. The total magnetic moment comes out at 0.253 Bohr magnetons per cell. The space group is I4/mmm.

3.
## HoLuNiAg (PBE)

Data for a relaxed structure of HoLuNiAg.

Cell and atoms, written as CIF:
```
data_HoLuNiAg
_cell_length_a 4.907
_cell_length_b 4.907
_cell_length_c 4.907
_cell_angle_alpha 60.00
_cell_angle_beta 60.00
_cell_angle_gamma 60.00
_symmetry_space_group_name_H-M 'P 1'
_symmetry_Int_Tables_number 1
_symmetry_space_group_name_Hall 'P 1'
loop_
_atom_site_label
_atom_site_fract_x
_atom_site_fract_y
_atom_site_fract_z
Ho1 0.000 0.000 0.000
Lu1 0.500 0.500 0.500
Ni1 0.250 0.250 0.250
Ag1 0.750 0.750 0.750
```

Summary:
The calculation puts the formation energy at -0.344 eV per atom. The final energy is -4.777 eV/atom. The value obtained for the theoretical density is 10.07 g/cm3. The total magnetic moment comes out at 0.000 Bohr magnetons per cell. The space group is F-43m.